No. 1
Material: SmTmF6
Method: DFT, PBE-GGA
State: relaxed

## Properties
formation energy from raw total energies = -4086 meV/atom
volume = 108.1 Å³ per cell
crystal system = monoclinic
total moment = 0.00 Bohr magnetons per cell
energy relative to the lowest polymorph listed for this composition = 0.026 eV/atom

Cell lengths 5.9665, 4.4305, 4.4305 Å; angles 68.86, 85.26, 94.74 degrees
Fractional coordinates of all 8 atoms:
1 Sm 0.5000 0.2340 0.2340
2 Tm 0.0000 0.9146 0.9146
3 F 0.6721 0.7377 0.2460
4 F 0.3279 0.2460 0.7377
5 F 0.1273 0.9508 0.3971
6 F 0.2730 0.6255 0.0603
7 F 0.7270 0.0603 0.6255
8 F 0.8727 0.3971 0.9508

No. 2
Material: SmTmF6
Method: DFT, PBE-GGA
State: relaxed

## Properties
formation energy from raw total energies = -4112 meV/atom
volume = 158.3 Å³ per cell
crystal system = trigonal
total moment = 0.00 Bohr magnetons per cell
energy relative to the lowest polymorph listed for this composition = 0.000 eV/atom

Cell lengths 5.9052, 5.9073, 6.2552 Å; angles 61.79, 61.79, 59.97 degrees
Fractional coordinates of all 8 atoms:
1 Sm 0.0000 0.0000 0.0000
2 Tm 0.5000 0.5000 0.5000
3 F 0.1773 0.3355 0.7432
4 F 0.7438 0.1774 0.7433
5 F 0.6646 0.2560 0.2570
6 F 0.2562 0.8226 0.2567
7 F 0.8227 0.6645 0.2568
8 F 0.3354 0.7440 0.7430

No. 3
Material: SmU2F11
Method: DFT, PBE-GGA
State: relaxed

## Properties
formation energy from raw total energies = -3753 meV/atom
volume = 497.9 Å³ per cell
crystal system = orthorhombic
total moment = 8.00 Bohr magnetons per cell

Cell lengths 8.4728, 8.7651, 8.7651 Å; angles 73.69, 61.10, 61.10 degrees
Site moments in Bohr magnetons follow the coordinates.
Fractional coordinates of all 28 atoms:
1 Sm 0.7500 0.7500 0.7500  0.00
2 Sm 0.2500 0.2500 0.2500  0.00
3 U 0.6493 0.6823 0.3177  1.99
4 U 0.3507 0.3177 0.6823  1.99
5 U 0.8507 0.1823 0.8177  1.99
6 U 0.1493 0.8177 0.1823  1.99
7 F 0.6443 0.7087 0.5644  -0.01
8 F 0.3557 0.2913 0.4356  -0.01
9 F 0.0826 0.5644 0.7087  -0.01
10 F 0.8557 0.9356 0.7913  -0.01
11 F 0.9174 0.4356 0.2913  -0.01
12 F 0.1443 0.0644 0.2087  -0.01
13 F 0.4174 0.7913 0.9356  -0.01
14 F 0.5826 0.2087 0.0644  -0.01
15 F 0.5000 0.5000 0.5000  0.00
16 F 0.0000 0.0000 0.0000  0.00
17 F 0.8726 0.7863 0.2137  -0.01
18 F 0.1274 0.2137 0.7863  -0.01
19 F 0.6274 0.2863 0.7137  -0.01
20 F 0.3726 0.7137 0.2863  -0.01
21 F 0.4522 0.9644 0.3160  -0.01
22 F 0.5478 0.0356 0.6840  -0.01
23 F 0.2674 0.3160 0.9644  -0.01
24 F 0.0478 0.1840 0.5356  -0.01
25 F 0.7326 0.6840 0.0356  -0.01
26 F 0.9522 0.8160 0.4644  -0.01
27 F 0.2326 0.5356 0.1840  -0.01
28 F 0.7674 0.4644 0.8160  -0.01